(1)
Here is Na3Mg2AgH9 after structural relaxation from Alexandria. Energies are from PBE.

Cell: 5.406 5.406 6.675 Å, 90.00 90.00 120.00°
Sites, in units of the cell vectors:
H (0.000, 0.500, 0.000)
Na (0.333, 0.667, 0.651)
Ag (0.000, 0.000, 0.500)
H (0.667, 0.833, 0.337)
H (0.333, 0.167, 0.663)
Mg (0.333, 0.667, 0.161)
Na (0.667, 0.333, 0.349)
Na (0.000, 0.000, 0.000)
Mg (0.667, 0.333, 0.839)
H (0.167, 0.833, 0.337)
H (0.167, 0.333, 0.337)
H (0.500, 0.500, 0.000)
H (0.833, 0.667, 0.663)
H (0.833, 0.167, 0.663)
H (0.500, 0.000, 0.000)

Values from the calculation:
- DOS(E_F): 0.26 states/eV per atom
- Crystal system: trigonal
- Volume: 168.9 Å³/cell

---

(2)
Here is VIn3Se4 after structural relaxation from Alexandria. Energies are from PBE.

Cell: 6.682 6.682 6.682 Å, 109.47 109.47 109.47°
Sites, in units of the cell vectors:
Se (0.344, 0.000, 0.000)
V (0.000, 0.000, 0.000)
Se (0.000, 0.344, 0.000)
Se (0.000, 0.000, 0.344)
Se (0.656, 0.656, 0.656)
In (0.500, 0.500, 0.000)
In (0.000, 0.500, 0.500)
In (0.500, 0.000, 0.500)

Values from the calculation:
- Formation energy from raw total energies: -0.457 eV/atom
- DOS(E_F): 0.00 states/eV per atom
- Crystal system: cubic
- Volume: 229.6 Å³/cell

---

(3)
Here is YInTe4 after structural relaxation from Alexandria. Energies are from PBE.

Cell: 6.392 6.392 6.392 Å, 60.00 60.00 60.00°
Sites, in units of the cell vectors:
Te (0.376, 0.376, 0.873)
Te (0.376, 0.376, 0.376)
Te (0.873, 0.376, 0.376)
Y (0.750, 0.750, 0.750)
In (0.000, 0.000, 0.000)
Te (0.376, 0.873, 0.376)

Values from the calculation:
- Formation energy from raw total energies: 0.070 eV/atom
- DOS(E_F): 0.92 states/eV per atom
- Crystal system: cubic
- Volume: 184.7 Å³/cell

---

no.,uncorrected energy (eV per formula unit)
1,-41.013
2,-34.927
3,-21.347